# 1
Entry from Alexandria via LeMat-Bulk: HoTmTh3 after structural relaxation (PBE).

Properties
The total magnetic moment comes out at 0.000 μB/atom. The space group is No. 62. The value obtained for the formation energy is 235.7 meV per atom. For the density of states at the Fermi level, the calculation gives 6.853 states/eV/f.u.

Lattice parameters (Å, degrees): 9.1556 9.1740 7.8653 90.00 90.00 90.00
With the nearest neighbours (Å) after each atom.
Fractional positions:
Ho 0.0000 0.5000 0.0000  6 Th 3.56-3.93, 2 Tm 3.92, 2 Ho 3.93
Ho 0.5000 0.0000 0.5000  6 Th 3.56-3.93, 2 Tm 3.92, 2 Ho 3.93
Ho 0.5000 0.0000 0.0000  6 Th 3.56-3.93, 2 Tm 3.92, 2 Ho 3.93
Ho 0.0000 0.5000 0.5000  6 Th 3.56-3.93, 2 Tm 3.92, 2 Ho 3.93
Tm 0.3352 0.6568 0.7500  6 Th 3.28-3.36
Tm 0.1648 0.1568 0.2500  6 Th 3.28-3.36
Tm 0.6648 0.3432 0.2500  6 Th 3.28-3.36
Tm 0.8352 0.8432 0.7500  6 Th 3.28-3.36
Th 0.8650 0.1350 0.0043  3 Tm 3.28-3.36, 4 Th 3.32-3.50, 2 Ho 3.56-3.57
Th 0.6350 0.6350 0.5043  3 Tm 3.28-3.36, 4 Th 3.32-3.50, 2 Ho 3.56-3.57
Th 0.6350 0.6350 0.9957  3 Tm 3.28-3.36, 4 Th 3.32-3.50, 2 Ho 3.56-3.57
Th 0.1350 0.8650 0.5043  3 Tm 3.28-3.36, 4 Th 3.32-3.50, 2 Ho 3.56-3.57
Th 0.1350 0.8650 0.9957  3 Tm 3.28-3.36, 4 Th 3.32-3.50, 2 Ho 3.56-3.57
Th 0.3650 0.3650 0.4957  3 Tm 3.28-3.36, 4 Th 3.32-3.50, 2 Ho 3.56-3.57
Th 0.3650 0.3650 0.0043  3 Tm 3.28-3.36, 4 Th 3.32-3.50, 2 Ho 3.56-3.57
Th 0.8650 0.1350 0.4957  3 Tm 3.28-3.36, 4 Th 3.32-3.50, 2 Ho 3.56-3.57
Th 0.6568 0.3364 0.7500  6 Th 3.32-3.36
Th 0.8432 0.8364 0.2500  6 Th 3.32-3.36
Th 0.3432 0.6636 0.2500  6 Th 3.32-3.36
Th 0.1568 0.1636 0.7500  6 Th 3.32-3.36

# 2
Entry from Alexandria via LeMat-Bulk: Ho3TmTh after structural relaxation (PBE).

Properties
The total magnetic moment comes out at 0.000 μB/atom. The space group is No. 2. The value obtained for the formation energy is 23.8 meV per atom. For the density of states at the Fermi level, the calculation gives 7.872 states/eV/f.u.

Lattice parameters (Å, degrees): 6.2117 9.4877 8.4207 118.92 111.89 109.04
With the nearest neighbours (Å) after each atom.
Fractional positions:
Ho 0.7345 0.5557 0.2546  3 Th 3.47-3.54, 2 Tm 3.48-3.59, 7 Ho 3.50-3.66
Ho 0.8707 0.6584 0.7545  4 Tm 3.48-3.57, 6 Ho 3.50-3.66, 2 Th 3.50-3.56
Ho 0.3418 0.7531 0.2520  7 Ho 3.49-3.66, 3 Th 3.50-3.64, 2 Tm 3.52-3.59
Ho 0.6582 0.2469 0.7480  7 Ho 3.49-3.66, 3 Th 3.50-3.64, 2 Tm 3.52-3.59
Ho 0.2655 0.4443 0.7454  3 Th 3.47-3.54, 2 Tm 3.48-3.59, 7 Ho 3.50-3.66
Ho 0.1293 0.3416 0.2455  4 Tm 3.48-3.57, 6 Ho 3.50-3.66, 2 Th 3.50-3.56
Tm 0.5364 0.1542 0.2535  8 Ho 3.48-3.59, 3 Th 3.49-3.64, 1 Tm 3.55
Tm 0.4636 0.8458 0.7465  8 Ho 3.48-3.59, 3 Th 3.49-3.64, 1 Tm 3.55
Th 0.0771 0.0539 0.7525  8 Ho 3.47-3.64, 1 Th 3.49, 3 Tm 3.49-3.64
Th 0.9229 0.9461 0.2475  8 Ho 3.47-3.64, 1 Th 3.49, 3 Tm 3.49-3.64

# 3
Entry from Alexandria via LeMat-Bulk: Ho2Tm6Th after structural relaxation (PBE).

Properties
The total magnetic moment comes out at 0.000 μB/atom. The space group is No. 15. The value obtained for the formation energy is 123.5 meV per atom. For the density of states at the Fermi level, the calculation gives 11.644 states/eV/f.u.

Lattice parameters (Å, degrees): 6.4706 9.4230 9.4230 96.84 82.01 82.01
With the nearest neighbours (Å) after each atom.
Fractional positions:
Ho 0.1287 0.6148 0.6604  3 Ho 3.30-3.47, 7 Tm 3.38-3.56
Ho 0.3713 0.3396 0.3852  3 Ho 3.30-3.47, 7 Tm 3.38-3.56
Ho 0.8713 0.3852 0.3396  3 Ho 3.30-3.47, 7 Tm 3.38-3.56
Ho 0.6287 0.6604 0.6148  3 Ho 3.30-3.47, 7 Tm 3.38-3.56
Tm 0.5060 0.6532 0.2747  5 Tm 3.25-3.47, 1 Th 3.31, 3 Ho 3.38-3.43
Tm 0.9940 0.7253 0.3468  5 Tm 3.25-3.47, 1 Th 3.31, 3 Ho 3.38-3.43
Tm 0.4940 0.3468 0.7253  5 Tm 3.25-3.47, 1 Th 3.31, 3 Ho 3.38-3.43
Tm 0.0060 0.2747 0.6532  5 Tm 3.25-3.47, 1 Th 3.31, 3 Ho 3.38-3.43
Tm 0.7266 0.0619 0.4569  6 Tm 3.34-3.47, 2 Ho 3.43-3.56, 1 Th 3.44
Tm 0.7734 0.5431 0.9381  6 Tm 3.34-3.47, 2 Ho 3.43-3.56, 1 Th 3.44
Tm 0.2734 0.9381 0.5431  6 Tm 3.34-3.47, 2 Ho 3.43-3.56, 1 Th 3.44
Tm 0.2266 0.4569 0.0619  6 Tm 3.34-3.47, 2 Ho 3.43-3.56, 1 Th 3.44
Tm 0.3167 0.7705 0.9533  2 Th 3.31-3.60, 4 Tm 3.34-3.65, 2 Ho 3.42-3.49
Tm 0.1833 0.0467 0.2295  2 Th 3.31-3.60, 4 Tm 3.34-3.65, 2 Ho 3.42-3.49
Tm 0.6833 0.2295 0.0467  2 Th 3.31-3.60, 4 Tm 3.34-3.65, 2 Ho 3.42-3.49
Tm 0.8167 0.9533 0.7705  2 Th 3.31-3.60, 4 Tm 3.34-3.65, 2 Ho 3.42-3.49
Th 0.2500 0.1107 0.8893  8 Tm 3.31-3.60
Th 0.7500 0.8893 0.1107  8 Tm 3.31-3.60

# 4
Entry from Alexandria via LeMat-Bulk: Ho5Tm4Th3 after structural relaxation (PBE).

Properties
The total magnetic moment comes out at 0.000 μB/atom. The space group is No. 12. The value obtained for the formation energy is 363.3 meV per atom. For the density of states at the Fermi level, the calculation gives 16.594 states/eV/f.u.

Lattice parameters (Å, degrees): 5.6775 9.2297 9.7351 114.26 73.05 72.09
With the nearest neighbours (Å) after each atom.
Fractional positions:
Ho 0.7304 0.9334 0.6057  2 Th 3.31-3.37, 1 Ho 3.52, 3 Tm 3.55-3.56
Ho 0.5000 0.5000 0.5000  4 Th 2.84-2.95, 2 Tm 2.93
Ho 0.3492 0.2475 0.0542  2 Th 3.47-3.70, 5 Tm 3.51-3.78, 1 Ho 3.52
Ho 0.6508 0.7525 0.9458  2 Th 3.47-3.70, 5 Tm 3.51-3.78, 1 Ho 3.52
Ho 0.2696 0.0666 0.3943  2 Th 3.31-3.37, 1 Ho 3.52, 3 Tm 3.55-3.56
Tm 0.9392 0.2739 0.8477  1 Tm 3.27, 3 Th 3.30-3.44, 3 Ho 3.51-3.56
Tm 0.1614 0.8762 0.8010  1 Ho 2.93, 2 Tm 3.10-3.27
Tm 0.8386 0.1238 0.1990  1 Ho 2.93, 2 Tm 3.10-3.27
Tm 0.0608 0.7261 0.1523  1 Tm 3.27, 3 Th 3.30-3.44, 3 Ho 3.51-3.56
Th 0.5476 0.6340 0.2708  1 Ho 2.95
Th 0.0000 0.5000 0.5000  2 Ho 2.84
Th 0.4524 0.3660 0.7292  1 Ho 2.95